Record 1
Pm2Nd7Tm2 | GGA-PBE | optimized geometry

a = 8.1849 Å, b = 8.1849 Å, c = 6.1247 Å
α = 105.53°, β = 105.53°, γ = 89.66°
Fractional coordinates of all 11 atoms:
Pm 0.2262 0.2262 0.0974
Pm 0.7738 0.7738 0.9026
Nd 0.0000 0.0000 0.5000
Nd 0.0471 0.5879 0.3207
Nd 0.4121 0.9529 0.6793
Nd 0.4252 0.4252 0.7008
Nd 0.5748 0.5748 0.2992
Nd 0.5879 0.0471 0.3207
Nd 0.9529 0.4121 0.6793
Tm 0.2177 0.7823 0.0000
Tm 0.7823 0.2177 0.0000

Properties
Space-group type ... C2/m (12)
V ... 380 Å³/f.u.
Formation energy from the elements ... 12.9 kJ per mole of atoms
Energy above the most stable polymorph in this dataset ... 0 kJ/mol of formula units
Energy ... -4.58 eV/atom

Record 2
Pm6Nd5Tm2 | GGA-PBE | optimized geometry

a = 11.7744 Å, b = 20.9112 Å, c = 3.6441 Å
α = 90.00°, β = 90.00°, γ = 90.00°
Fractional coordinates of all 26 atoms:
Pm 0.0633 0.0809 0.0000
Pm 0.0826 0.3681 0.0000
Pm 0.1736 0.6395 0.5000
Pm 0.3264 0.1395 0.5000
Pm 0.4174 0.8681 0.0000
Pm 0.4367 0.5809 0.0000
Pm 0.5633 0.4191 0.0000
Pm 0.5826 0.1319 0.0000
Pm 0.6736 0.8605 0.5000
Pm 0.8264 0.3605 0.5000
Pm 0.9174 0.6319 0.0000
Pm 0.9367 0.9191 0.0000
Nd 0.0000 0.5000 0.5000
Nd 0.0867 0.2271 0.5000
Nd 0.1970 0.9454 0.5000
Nd 0.3030 0.4454 0.5000
Nd 0.4133 0.7271 0.5000
Nd 0.5000 0.0000 0.5000
Nd 0.5867 0.2729 0.5000
Nd 0.6970 0.5546 0.5000
Nd 0.8030 0.0546 0.5000
Nd 0.9133 0.7729 0.5000
Tm 0.1695 0.7897 0.0000
Tm 0.3305 0.2897 0.0000
Tm 0.6695 0.7103 0.0000
Tm 0.8305 0.2103 0.0000

Properties
Space-group type ... Pbam (55)
V ... 449 Å³/f.u.
Formation energy from the elements ... 8.9 kJ per mole of atoms
Energy ... -4.62 eV/atom

Record 3
Pm5Nd8Tm | GGA-PBE | optimized geometry

a = 8.6398 Å, b = 8.6398 Å, c = 8.6398 Å
α = 110.61°, β = 110.61°, γ = 107.21°
Fractional coordinates of all 14 atoms:
Pm 0.0000 0.0000 0.0000
Pm 0.2150 0.5290 0.8977
Pm 0.4710 0.3687 0.6860
Pm 0.6313 0.3173 0.1023
Pm 0.6827 0.7850 0.3140
Nd 0.1620 0.0637 0.7327
Nd 0.3310 0.4293 0.2673
Nd 0.4206 0.0240 0.2594
Nd 0.5707 0.8380 0.9017
Nd 0.7646 0.1612 0.7406
Nd 0.8388 0.5794 0.6034
Nd 0.9363 0.6690 0.0983
Nd 0.9760 0.2354 0.3966
Tm 0.2500 0.7500 0.5000

Properties
Space-group type ... I-4 (82)
V ... 496 Å³/f.u.
Formation energy from the elements ... 23.3 kJ per mole of atoms
Energy ... -4.50 eV/atom

Record 4
Pm3Nd6Tm | GGA-PBE | optimized geometry

a = 11.1448 Å, b = 11.1448 Å, c = 6.5098 Å
α = 90.00°, β = 90.00°, γ = 120.82°
Fractional coordinates of all 20 atoms:
Pm 0.1149 0.8851 0.5000
Pm 0.2110 0.4434 0.1161
Pm 0.4434 0.2110 0.6161
Pm 0.5566 0.7890 0.1161
Pm 0.7890 0.5566 0.6161
Pm 0.8851 0.1149 0.0000
Nd 0.0227 0.4411 0.7158
Nd 0.1279 0.2126 0.5233
Nd 0.2126 0.1279 0.0233
Nd 0.2224 0.7776 0.9267
Nd 0.4411 0.0227 0.2158
Nd 0.4651 0.5349 0.7124
Nd 0.5349 0.4651 0.2124
Nd 0.5589 0.9773 0.7158
Nd 0.7776 0.2224 0.4267
Nd 0.7874 0.8721 0.5233
Nd 0.8721 0.7874 0.0233
Nd 0.9773 0.5589 0.2158
Tm 0.3079 0.6921 0.4663
Tm 0.6921 0.3079 0.9663

Properties
Space-group type ... Cmc2_1 (36)
V ... 347 Å³/f.u.
Formation energy from the elements ... 13.0 kJ per mole of atoms
Energy above the most stable polymorph in this dataset ... 0 kJ/mol of formula units
Energy ... -4.60 eV/atom

Record 5
PmNd15Tm4 | GGA-PBE | optimized geometry

a = 5.1539 Å, b = 5.1539 Å, c = 25.6669 Å
α = 90.00°, β = 90.00°, γ = 90.00°
Fractional coordinates of all 20 atoms:
Pm 0.0000 0.0000 0.0000
Nd 0.0000 0.5000 0.1017
Nd 0.0000 0.5000 0.3008
Nd 0.0000 0.5000 0.5000
Nd 0.0000 0.5000 0.6992
Nd 0.0000 0.5000 0.8983
Nd 0.5000 0.0000 0.1017
Nd 0.5000 0.0000 0.3008
Nd 0.5000 0.0000 0.5000
Nd 0.5000 0.0000 0.6992
Nd 0.5000 0.0000 0.8983
Nd 0.5000 0.5000 0.0000
Nd 0.5000 0.5000 0.2017
Nd 0.5000 0.5000 0.4004
Nd 0.5000 0.5000 0.5996
Nd 0.5000 0.5000 0.7983
Tm 0.0000 0.0000 0.2014
Tm 0.0000 0.0000 0.4004
Tm 0.0000 0.0000 0.5996
Tm 0.0000 0.0000 0.7986

Properties
Space-group type ... P4/mmm (123)
V ... 682 Å³/f.u.
Formation energy from the elements ... 1.1 kJ per mole of atoms
Energy ... -4.70 eV/atom

Record 6
Pm8NdTm6 | GGA-PBE | optimized geometry

a = 9.8705 Å, b = 9.8705 Å, c = 5.8846 Å
α = 90.00°, β = 90.00°, γ = 120.00°
Fractional coordinates of all 15 atoms:
Pm 0.0517 0.2761 0.2743
Pm 0.2244 0.9483 0.2743
Pm 0.2761 0.2244 0.7257
Pm 0.3333 0.6667 0.2749
Pm 0.6667 0.3333 0.7251
Pm 0.7239 0.7756 0.2743
Pm 0.7756 0.0517 0.7257
Pm 0.9483 0.7239 0.7257
Nd 0.0000 0.0000 0.0000
Tm 0.0936 0.4736 0.7589
Tm 0.3800 0.9064 0.7589
Tm 0.4736 0.3800 0.2411
Tm 0.5264 0.6200 0.7589
Tm 0.6200 0.0936 0.2411
Tm 0.9064 0.5264 0.2411

Properties
Space-group type ... P-3 (147)
V ... 497 Å³/f.u.
Formation energy from the elements ... 15.6 kJ per mole of atoms
Energy ... -4.48 eV/atom

Record 7
Pm3Nd2Tm4 | GGA-PBE | optimized geometry

a = 10.1020 Å, b = 10.1020 Å, c = 6.1261 Å
α = 95.98°, β = 95.98°, γ = 70.79°
Fractional coordinates of all 18 atoms:
Pm 0.1379 0.8621 0.7500
Pm 0.1919 0.4839 0.9093
Pm 0.4839 0.1919 0.4093
Pm 0.5161 0.8081 0.5907
Pm 0.8081 0.5161 0.0907
Pm 0.8621 0.1379 0.2500
Nd 0.0139 0.7647 0.2168
Nd 0.2353 0.9861 0.2832
Nd 0.7647 0.0139 0.7168
Nd 0.9861 0.2353 0.7832
Tm 0.1177 0.3479 0.3626
Tm 0.3290 0.5541 0.4592
Tm 0.3479 0.1177 0.8626
Tm 0.4459 0.6710 0.0408
Tm 0.5541 0.3290 0.9592
Tm 0.6521 0.8823 0.1374
Tm 0.6710 0.4459 0.5408
Tm 0.8823 0.6521 0.6374

Properties
Space-group type ... C2/c (15)
V ... 293 Å³/f.u.
Formation energy from the elements ... 9.3 kJ per mole of atoms
Energy above the most stable polymorph in this dataset ... 68 kJ/mol of formula units
Energy ... -4.53 eV/atom

Record 8
Pm6Nd2Tm3 | GGA-PBE | optimized geometry

a = 6.1266 Å, b = 8.5032 Å, c = 8.5256 Å
α = 104.44°, β = 108.39°, γ = 108.12°
Fractional coordinates of all 11 atoms:
Pm 0.1374 0.4026 0.2100
Pm 0.2447 0.0459 0.9057
Pm 0.2570 0.8495 0.2587
Pm 0.7430 0.1505 0.7413
Pm 0.7553 0.9541 0.0943
Pm 0.8626 0.5974 0.7900
Nd 0.3306 0.6861 0.6428
Nd 0.6694 0.3139 0.3572
Tm 0.2015 0.2208 0.5466
Tm 0.5000 0.5000 0.0000
Tm 0.7985 0.7792 0.4534

Properties
Space-group type ... P-1 (2)
V ... 370 Å³/f.u.
Formation energy from the elements ... 7.5 kJ per mole of atoms
Energy above the most stable polymorph in this dataset ... 0 kJ/mol of formula units
Energy ... -4.60 eV/atom

Record 9
Pm2Nd2Tm | GGA-PBE | optimized geometry

a = 8.8825 Å, b = 6.3122 Å, c = 12.7189 Å
α = 90.00°, β = 106.34°, γ = 90.00°
Fractional coordinates of all 20 atoms:
Pm 0.0890 0.1711 0.4438
Pm 0.0890 0.3289 0.9438
Pm 0.3372 0.5648 0.5786
Pm 0.3372 0.9352 0.0786
Pm 0.6628 0.0648 0.9214
Pm 0.6628 0.4352 0.4214
Pm 0.9110 0.6711 0.0562
Pm 0.9110 0.8289 0.5562
Nd 0.0147 0.6474 0.3313
Nd 0.0147 0.8526 0.8313
Nd 0.3802 0.5635 0.8688
Nd 0.3802 0.9365 0.3688
Nd 0.6198 0.0635 0.6312
Nd 0.6198 0.4365 0.1312
Nd 0.9853 0.1474 0.1687
Nd 0.9853 0.3526 0.6687
Tm 0.2945 0.0546 0.7231
Tm 0.2945 0.4454 0.2231
Tm 0.7055 0.5546 0.7769
Tm 0.7055 0.9454 0.2769

Properties
Space-group type ... P2_1/c (14)
V ... 171 Å³/f.u.
Formation energy from the elements ... 12.8 kJ per mole of atoms
Energy above the most stable polymorph in this dataset ... 0 kJ/mol of formula units
Energy ... -4.57 eV/atom

Record 10
Pm5Nd3Tm3 | GGA-PBE | optimized geometry

a = 9.7432 Å, b = 9.7432 Å, c = 5.5790 Å
α = 90.00°, β = 90.00°, γ = 120.00°
Fractional coordinates of all 11 atoms:
Pm 0.0000 0.2703 0.0000
Pm 0.2703 0.0000 0.0000
Pm 0.3333 0.6667 0.0000
Pm 0.6667 0.3333 0.0000
Pm 0.7297 0.7297 0.0000
Nd 0.0000 0.4280 0.5000
Nd 0.4280 0.0000 0.5000
Nd 0.5720 0.5720 0.5000
Tm 0.0000 0.6314 0.0000
Tm 0.3686 0.3686 0.0000
Tm 0.6314 0.0000 0.0000

Properties
Space-group type ... P-62m (189)
V ... 459 Å³/f.u.
Formation energy from the elements ... 71.8 kJ per mole of atoms
Energy above the most stable polymorph in this dataset ... 445 kJ/mol of formula units
Energy ... -3.94 eV/atom

Record 11
Pm4NdTm7 | GGA-PBE | optimized geometry

a = 6.8237 Å, b = 6.9850 Å, c = 8.6576 Å
α = 78.50°, β = 77.21°, γ = 75.72°
Fractional coordinates of all 12 atoms:
Pm 0.1526 0.2729 0.3172
Pm 0.3157 0.8951 0.6661
Pm 0.6843 0.1049 0.3339
Pm 0.8474 0.7271 0.6828
Nd 0.5000 0.5000 0.0000
Tm 0.0169 0.2489 0.9777
Tm 0.1761 0.7683 0.3264
Tm 0.3236 0.3920 0.6388
Tm 0.5000 0.0000 0.0000
Tm 0.6764 0.6080 0.3612
Tm 0.8239 0.2317 0.6736
Tm 0.9831 0.7511 0.0223

Properties
Space-group type ... P-1 (2)
V ... 385 Å³/f.u.
Formation energy from the elements ... 7.4 kJ per mole of atoms
Energy above the most stable polymorph in this dataset ... 0 kJ/mol of formula units
Energy ... -4.51 eV/atom

Record 12
Pm4NdTm2 | GGA-PBE | optimized geometry

a = 12.5463 Å, b = 6.8049 Å, c = 13.5222 Å
α = 67.05°, β = 29.96°, γ = 82.98°
Fractional coordinates of all 14 atoms:
Pm 0.0206 0.9794 0.1224
Pm 0.1276 0.3724 0.2294
Pm 0.3724 0.1276 0.2706
Pm 0.4491 0.6036 0.2641
Pm 0.5668 0.9859 0.6464
Pm 0.6036 0.4491 0.6832
Pm 0.9794 0.0206 0.8776
Pm 0.9859 0.5668 0.8009
Nd 0.4872 0.4872 0.5128
Nd 0.7372 0.7372 0.7628
Tm 0.0587 0.5442 0.0087
Tm 0.2413 0.8616 0.1913
Tm 0.5442 0.0587 0.3884
Tm 0.8616 0.2413 0.7058

Properties
Space-group type ... Fdd2 (43)
V ... 235 Å³/f.u.
Formation energy from the elements ... 5.7 kJ per mole of atoms
Energy above the most stable polymorph in this dataset ... 0 kJ/mol of formula units
Energy ... -4.61 eV/atom

M_tot for every record listed, in sequence, given in μB per formula unit: 0.0 0.0 0.0 0.0 0.0 0.0 0.0 0.0 0.0 0.0 0.0 0.0.